# NbFe2F

A relaxed structure of NbFe2F (GGA+U, Alexandria).

Cell lengths 4.449, 4.449, 4.449 Å; angles 60.00, 60.00, 60.00 degrees
Each line ends with the local moment (μB).
Fractional coordinates of all 4 atoms:
F: 0.000 0.000 0.000  0.00
Fe: 0.750 0.750 0.750  3.56
Fe: 0.250 0.250 0.250  3.56
Nb: 0.500 0.500 0.500  -1.43

Relative energy among the computed polymorphs ... 56.4 kJ per mole of atoms
Size of the total moment ... 5.4 μB/f.u.